Material: ScGaPd
Method: DFT, PBE-GGA
State: optimized geometry

Unit cell a=6.491 b=4.272 c=7.651 alpha=90.00 beta=90.00 gamma=90.00
Element x y z (fractional)
Sc: 0.015 0.250 0.201
Sc: 0.485 0.750 0.701
Sc: 0.515 0.250 0.299
Sc: 0.985 0.750 0.799
Ga: 0.225 0.750 0.390
Ga: 0.275 0.250 0.890
Ga: 0.725 0.750 0.110
Ga: 0.775 0.250 0.610
Pd: 0.174 0.250 0.565
Pd: 0.326 0.750 0.065
Pd: 0.674 0.250 0.935
Pd: 0.826 0.750 0.435

Calculated values
* final energy: -5.678 eV per atom
* M_tot: 0.001 μB/atom
* density: 6.9 g cm⁻³
* SG: Pnma